MgAg2Sn2: optimized geometry, GGA-PBE.

abc: 8.222 8.222 3.466
angles: 90.00 90.00 90.00
Sites, in units of the cell vectors:
1 Mg 0.000 0.000 0.000
2 Mg 0.500 0.500 0.000
3 Sn 0.330 0.830 0.000
4 Sn 0.830 0.670 0.000
5 Sn 0.670 0.170 0.000
6 Sn 0.170 0.330 0.000
7 Ag 0.126 0.626 0.500
8 Ag 0.626 0.874 0.500
9 Ag 0.874 0.374 0.500
10 Ag 0.374 0.126 0.500

Space-group type: P4/mbm (127)
Total DFT energy (no corrections) in eV/atom: -2.976
Calculated density in g/cm3: 6.8
DFT formation energy in eV/atom: 0.08